# 1
NbCSeN2 PBE relaxed; E = -6.25 eV/atom; E_form (uncorrected) = 1.635 eV/atom; ΔE to the lowest computed polymorph = 0 meV per atom
1.0
3.9236 0.0000 0.0000
0.0000 3.9236 0.0000
0.0000 0.0000 5.5123
Nb C Se N
1 1 1 2
Cartesian
0.0000 0.0000 0.0000
1.9618 1.9618 2.7562
0.0000 0.0000 2.7562
0.0000 1.9618 0.0000
1.9618 0.0000 0.0000

=====

# 2
Tm6HgIr5 PBE relaxed; E = -6.78 eV/atom; formation enthalpy at 0 K = -826.3 meV per atom
1.0
4.7665 0.0000 0.0000
0.0000 7.0715 0.0000
-2.3370 0.0000 7.1505
Tm Hg Ir
6 1 5
Cartesian
0.0000 1.6803 0.0000
0.0000 5.3912 0.0000
0.0302 1.7432 4.6986
0.0302 5.3283 4.6986
2.3994 1.7432 2.4520
2.3994 5.3283 2.4520
2.3833 3.5358 0.0000
0.0099 3.5358 2.3587
0.0156 0.0000 2.3856
2.3833 0.0000 0.0000
2.4139 0.0000 4.7650
2.4197 3.5358 4.7918